The following is a DFT calculation (GGA+U) of an optimized crystal structure of MnSeNF2.

```
data_MnSeNF2
_cell_length_a 4.621
_cell_length_b 4.621
_cell_length_c 3.695
_cell_angle_alpha 90.00
_cell_angle_beta 90.00
_cell_angle_gamma 90.00
_space_group_name_H-M_alt 'P 4/m m m'
_space_group_IT_number 123
_space_group_name_Hall '-P 4 2'
loop_
_atom_site_label
_atom_site_type_symbol
_atom_site_fract_x
_atom_site_fract_y
_atom_site_fract_z
Mn1 Mn 0.000 0.000 0.000
Se1 Se 0.500 0.500 0.500
N1 N 0.500 0.500 0.000
F1 F 0.000 0.500 0.500
```

Results
N(E_F) in states/eV/f.u.: 2.194
E in eV/atom: -4.691
Energy above the most stable polymorph in this dataset in eV per atom: 0.329